[1]
Density functional theory data (PBE) for crystalline GdYNi2 at its relaxed geometry.

Cell: 4.1914 5.4369 7.0686 Å, 90.00 90.00 90.00°
Closest atoms and distances in Å follow each position.
Positions (direct):
Gd 0.0000 0.1190 0.0000  7 Ni 2.87-2.93
Gd 0.0000 0.8810 0.5000  7 Ni 2.87-2.93
Y 0.5000 0.3813 0.6400  7 Ni 2.87-2.93
Y 0.5000 0.6187 0.1400  7 Ni 2.87-2.93
Ni 0.0000 0.3748 0.3577  2 Ni 2.55
Ni 0.0000 0.6252 0.8577  2 Ni 2.55
Ni 0.5000 0.1254 0.2827  2 Ni 2.55
Ni 0.5000 0.8746 0.7827  2 Ni 2.55

- Space group: Pmc2_1, No. 26
- Calculated volume: 161.1 Å³ per cell
- Formation enthalpy at 0 K: -0.433 eV per atom

[2]
Density functional theory data (PBE) for crystalline Hf2GaAu at its relaxed geometry.

Cell: 4.8077 4.8077 4.8077 Å, 60.00 60.00 60.00°
Closest atoms and distances in Å follow each position.
Positions (direct):
Hf 0.0000 0.0000 0.0000  4 Hf 2.94, 4 Au 2.94
Hf 0.2500 0.2500 0.2500  4 Ga 2.94, 4 Hf 2.94
Ga 0.5000 0.5000 0.5000  4 Au 2.94, 4 Hf 2.94
Au 0.7500 0.7500 0.7500  4 Ga 2.94, 4 Hf 2.94

- VASP energy: -25.87 eV per formula unit
- Space group: F-43m, No. 216
- Calculated volume: 78.6 Å³ per cell

[3]
Density functional theory data (PBE) for crystalline ScBe2Ni at its relaxed geometry.

Cell: 4.1039 4.1039 4.1039 Å, 60.00 60.00 60.00°
Closest atoms and distances in Å follow each position.
Positions (direct):
Sc 0.0000 0.0000 0.0000  4 Be 2.51, 4 Ni 2.51
Be 0.5000 0.5000 0.5000  4 Ni 2.51, 4 Be 2.51
Be 0.7500 0.7500 0.7500  4 Be 2.51, 4 Sc 2.51
Ni 0.2500 0.2500 0.2500  4 Be 2.51, 4 Sc 2.51

- VASP energy: -19.86 eV per formula unit
- Space group: F-43m, No. 216
- Calculated volume: 48.9 Å³ per cell